Record 1
# NiHg2Os

A relaxed structure of NiHg2Os (GGA-PBEsol, the Alexandria database).

Calculated values
The relative energy among the computed polymorphs comes out at 82 meV per atom. For the density of states at the Fermi level, the calculation gives 4.119 states/eV/cell. The formation energy comes out at 0.679 eV/atom.

a b c (Å): 2.812 3.812 5.930
angles (deg): 90.00 90.11 90.00
Space group P2/m (No. 10)
Asymmetric unit:
1 Ni 0.000 0.000 0.000 [1 per cell]
2 Hg 0.499 0.500 0.239 [2 per cell]
3 Os 0.000 0.000 0.500 [1 per cell]


Record 2
# NiHgOs2

A relaxed structure of NiHgOs2 (GGA-PBEsol, the Alexandria database).

Calculated values
For the density of states at the Fermi level, the calculation gives 6.065 states/eV/cell. The formation energy comes out at 0.505 eV/atom.

a b c (Å): 2.733 4.364 9.819
angles (deg): 90.00 90.00 90.00
Space group Immm (No. 71)
Asymmetric unit:
1 Ni 0.000 0.000 0.000 [2 per cell]
2 Hg 0.000 0.000 0.500 [2 per cell]
3 Os 0.000 0.500 0.285 [4 per cell]


Record 3
# NiHg3Os

A relaxed structure of NiHg3Os (GGA-PBEsol, the Alexandria database).

Calculated values
For the density of states at the Fermi level, the calculation gives 11.162 states/eV/cell. The formation energy comes out at 1.495 eV/atom.

a b c (Å): 5.119 5.119 5.119
angles (deg): 90.00 90.00 90.00
Space group Pm-3m (No. 221)
Asymmetric unit:
1 Ni 0.000 0.000 0.000 [1 per cell]
2 Hg 0.000 0.500 0.500 [3 per cell]
3 Os 0.500 0.500 0.500 [1 per cell]


Record 4
# Ni2HgOs

A relaxed structure of Ni2HgOs (GGA-PBEsol, the Alexandria database).

Calculated values
For the density of states at the Fermi level, the calculation gives 9.176 states/eV/cell. The formation energy comes out at 0.291 eV/atom.

a b c (Å): 2.7365 2.7365 25.4147
angles (deg): 90.00 90.00 120.00
Space group R-3m (No. 166, hexagonal axes)
Asymmetric unit:
1 Ni 0.0000 0.0000 0.2443 [6 per cell]
2 Hg 0.0000 0.0000 0.0000 [3 per cell]
3 Os 0.0000 0.0000 0.5000 [3 per cell]